#1
An optimized crystal structure of MnCoRe2, computed with GGA-PBE.

The total magnetization is 4.56 μB per formula unit.

Unit cell a=3.007 b=3.007 c=5.977 alpha=90.00 beta=90.00 gamma=90.00
Atoms (fractional coordinates):
Mn1 0.000 0.000 0.000
Co1 0.500 0.500 0.786
Re1 0.000 0.000 0.525
Re2 0.500 0.500 0.266

#2
An optimized crystal structure of MnCoRe2, computed with GGA-PBE.

The total magnetization is 4.61 μB per formula unit.

Unit cell a=4.257 b=4.257 c=4.257 alpha=60.00 beta=60.00 gamma=60.00
Atoms (fractional coordinates):
Mn1 0.000 0.000 0.000
Co1 0.750 0.750 0.750
Re1 0.250 0.250 0.250
Re2 0.500 0.500 0.500

#3
An optimized crystal structure of MnCoRe2, computed with GGA-PBE.

The total magnetization is 1.06 μB per formula unit.

Unit cell a=8.630 b=8.630 c=8.630 alpha=17.86 beta=17.86 gamma=17.86
Atoms (fractional coordinates):
Mn1 0.000 0.000 0.000
Co1 0.744 0.744 0.744
Re1 0.251 0.251 0.251
Re2 0.493 0.493 0.493

How far above the most stable structure does each one sit? In meV per atom: #1 0; #2 28; #3 92.